[1]
Entry from the Alexandria database: a relaxed structure of Pa3BeNi8 (PBE-GGA).

Geometry as POSCAR:
```
Pa3BeNi8
1.0
4.922 0.000 0.000
-2.461 4.263 0.000
0.000 0.000 8.212
Pa Be Ni
3 1 8
Direct
0.000 0.000 0.000 Pa
0.000 0.000 0.396 Pa
0.667 0.333 0.562 Pa
0.667 0.333 0.968 Be
0.168 0.336 0.714 Ni
0.168 0.832 0.714 Ni
0.333 0.667 0.451 Ni
0.333 0.667 0.957 Ni
0.501 0.002 0.203 Ni
0.501 0.499 0.203 Ni
0.664 0.832 0.714 Ni
0.998 0.499 0.203 Ni
```

Crystal system: trigonal
VASP energy in eV/atom: -6.872
Spin magnetization in μB/cell: 0.00
DOS at the Fermi energy in states/eV/cell: 12.38
Space group: No. 156
ΔH_f (0 K) in eV per atom: -0.333

---

[2]
Entry from the Alexandria database: a relaxed structure of Ag5Te2S5 (PBE-GGA).

Geometry as POSCAR:
```
Ag5Te2S5
1.0
7.047 -1.824 0.000
7.047 1.824 0.000
-2.294 0.000 10.124
Ag Te S
5 2 5
Direct
0.000 0.000 0.000 Ag
0.143 0.143 0.541 Ag
0.230 0.230 0.821 Ag
0.770 0.770 0.179 Ag
0.857 0.857 0.459 Ag
0.475 0.475 0.763 Te
0.525 0.525 0.237 Te
0.230 0.230 0.335 S
0.364 0.364 0.081 S
0.500 0.500 0.500 S
0.636 0.636 0.919 S
0.770 0.770 0.665 S
```

Crystal system: monoclinic
VASP energy in eV/atom: -3.294
Spin magnetization in μB/cell: 0.00
DOS at the Fermi energy in states/eV/cell: 4.60
Space group: No. 12

---

[3]
Entry from the Alexandria database: a relaxed structure of LiSi4 (PBE-GGA).

Geometry as POSCAR:
```
LiSi4
1.0
4.349 0.000 0.000
0.000 4.349 0.000
0.000 0.000 4.349
Li Si
1 4
Direct
0.000 0.000 0.000 Li
0.000 0.000 0.500 Si
0.000 0.500 0.000 Si
0.500 0.000 0.000 Si
0.500 0.500 0.500 Si
```

Crystal system: cubic
VASP energy in eV/atom: -3.749
ΔE to the lowest computed polymorph in eV/atom: 0.574
Spin magnetization in μB/cell: 0.00
DOS at the Fermi energy in states/eV/cell: 1.94
Space group: No. 221

---

[4]
Entry from the Alexandria database: a relaxed structure of Sr3AuSe (PBE-GGA).

Geometry as POSCAR:
```
Sr3AuSe
1.0
5.854 0.000 0.000
0.000 5.854 0.000
0.000 0.000 5.854
Sr Au Se
3 1 1
Direct
0.000 0.000 0.500 Sr
0.000 0.500 0.000 Sr
0.500 0.000 0.000 Sr
0.500 0.500 0.500 Au
0.000 0.000 0.000 Se
```

Crystal system: cubic
VASP energy in eV/atom: -3.044
ΔE to the lowest computed polymorph in eV/atom: 0.000
Spin magnetization in μB/cell: 0.00
DOS at the Fermi energy in states/eV/cell: 4.16
Space group: No. 221

---

[5]
Entry from the Alexandria database: a relaxed structure of BPbIF4 (PBE-GGA).

Geometry as POSCAR:
```
BPbIF4
1.0
5.707 -3.678 0.000
5.707 3.678 0.000
-3.053 0.000 7.370
B Pb I F
2 2 2 8
Direct
0.124 0.124 0.261 B
0.876 0.876 0.739 B
0.299 0.299 0.814 Pb
0.701 0.701 0.186 Pb
0.451 0.451 0.232 I
0.549 0.549 0.768 I
0.001 0.314 0.181 F
0.004 0.004 0.770 F
0.200 0.200 0.450 F
0.314 0.001 0.181 F
0.686 0.999 0.819 F
0.800 0.800 0.550 F
0.996 0.996 0.230 F
0.999 0.686 0.819 F
```

Crystal system: monoclinic
VASP energy in eV/atom: -5.054
Spin magnetization in μB/cell: 0.00
DOS at the Fermi energy in states/eV/cell: 0.00
Space group: No. 12

---

[6]
Entry from the Alexandria database: a relaxed structure of KHg3Pt (PBE-GGA).

Geometry as POSCAR:
```
KHg3Pt
1.0
0.000 7.223 7.223
7.223 0.000 7.223
7.223 7.223 0.000
K Hg Pt
4 12 4
Direct
0.000 0.000 0.000 K
0.000 0.000 0.500 K
0.000 0.500 0.000 K
0.500 0.000 0.000 K
0.192 0.192 0.558 Hg
0.192 0.558 0.192 Hg
0.192 0.558 0.558 Hg
0.442 0.442 0.808 Hg
0.442 0.808 0.442 Hg
0.442 0.808 0.808 Hg
0.558 0.192 0.192 Hg
0.558 0.192 0.558 Hg
0.558 0.558 0.192 Hg
0.808 0.442 0.442 Hg
0.808 0.442 0.808 Hg
0.808 0.808 0.442 Hg
0.000 0.500 0.500 Pt
0.500 0.000 0.500 Pt
0.500 0.500 0.000 Pt
0.500 0.500 0.500 Pt
```

Crystal system: cubic
VASP energy in eV/atom: -1.697
ΔE to the lowest computed polymorph in eV/atom: 0.180
Spin magnetization in μB/cell: 0.00
DOS at the Fermi energy in states/eV/cell: 10.39
Space group: No. 227
ΔH_f (0 K) in eV per atom: -0.088

---

[7]
Entry from the Alexandria database: a relaxed structure of Hf5ZrGa3 (PBE-GGA).

Geometry as POSCAR:
```
Hf5ZrGa3
1.0
6.134 -4.349 0.000
6.134 4.349 0.000
-5.387 0.000 7.910
Hf Zr Ga
10 2 6
Direct
0.044 0.044 0.301 Hf
0.170 0.611 0.254 Hf
0.183 0.817 0.000 Hf
0.251 0.251 0.966 Hf
0.389 0.830 0.746 Hf
0.611 0.170 0.254 Hf
0.749 0.749 0.034 Hf
0.817 0.183 0.000 Hf
0.830 0.389 0.746 Hf
0.956 0.956 0.699 Hf
0.374 0.374 0.658 Zr
0.626 0.626 0.342 Zr
0.144 0.144 0.629 Ga
0.227 0.227 0.242 Ga
0.500 0.500 0.000 Ga
0.500 0.500 0.500 Ga
0.773 0.773 0.758 Ga
0.856 0.856 0.371 Ga
```

Crystal system: monoclinic
VASP energy in eV/atom: -7.326
ΔE to the lowest computed polymorph in eV/atom: 0.510
Spin magnetization in μB/cell: 0.00
DOS at the Fermi energy in states/eV/cell: 12.51
Space group: No. 12
ΔH_f (0 K) in eV per atom: 0.163

---

[8]
Entry from the Alexandria database: a relaxed structure of TiTc2Se (PBE-GGA).

Geometry as POSCAR:
```
TiTc2Se
1.0
7.466 0.000 0.000
0.000 7.466 0.000
0.000 0.000 4.955
Ti Tc Se
4 8 4
Direct
0.000 0.000 0.000 Ti
0.000 0.500 0.250 Ti
0.500 0.000 0.750 Ti
0.500 0.500 0.500 Ti
0.178 0.250 0.625 Tc
0.250 0.678 0.875 Tc
0.250 0.822 0.375 Tc
0.322 0.250 0.125 Tc
0.678 0.750 0.125 Tc
0.750 0.178 0.375 Tc
0.750 0.322 0.875 Tc
0.822 0.750 0.625 Tc
0.000 0.000 0.500 Se
0.000 0.500 0.750 Se
0.500 0.000 0.250 Se
0.500 0.500 0.000 Se
```

Crystal system: tetragonal
VASP energy in eV/atom: -7.650
Spin magnetization in μB/cell: 0.00
DOS at the Fermi energy in states/eV/cell: 12.70
Space group: No. 122